Below is Li5Ho3Cl12 after structural relaxation, with properties calculated at the PBE level.

DOS at the Fermi energy (states/eV per cell): 31.56
Raw formation energy (eV per atom): -1.84
Uncorrected energy (eV per cell): -657.736

```
data_Li5Ho3Cl12
_chemical_formula_sum 'Li40 Ho24 Cl96'
_symmetry_space_group_name_H-M 'I a -3 d'
_symmetry_Int_Tables_number 230
_symmetry_space_group_name_Hall '-I 4bd 2c 3'
_cell_length_a 15.075
_cell_length_b 15.075
_cell_length_c 15.075
_cell_angle_alpha 90.00
_cell_angle_beta 90.00
_cell_angle_gamma 90.00
loop_
_atom_site_label
_atom_site_type_symbol
_atom_site_fract_x
_atom_site_fract_y
_atom_site_fract_z
_atom_site_occupancy
Li1 Li 0.000 0.000 0.000 1
Li2 Li 0.000 0.250 0.375 1
Ho1 Ho 0.000 0.250 0.125 1
Cl1 Cl 0.027 0.064 0.653 1
```

Below is LiHoCl4 after structural relaxation, with properties calculated at the PBE level.

DOS at the Fermi energy (states/eV per cell): 0.00
Raw formation energy (eV per atom): -2.10
Uncorrected energy (eV per cell): -26.484

```
data_LiHoCl4
_chemical_formula_sum 'Li1 Ho1 Cl4'
_symmetry_space_group_name_H-M 'P 1 2/m 1'
_symmetry_Int_Tables_number 10
_symmetry_space_group_name_Hall '-P 2y'
_cell_length_a 6.616
_cell_length_b 3.922
_cell_length_c 6.701
_cell_angle_alpha 90.00
_cell_angle_beta 95.80
_cell_angle_gamma 90.00
loop_
_atom_site_label
_atom_site_type_symbol
_atom_site_fract_x
_atom_site_fract_y
_atom_site_fract_z
_atom_site_occupancy
Li1 Li 0.000 0.000 0.000 1
Ho1 Ho 0.000 0.500 0.500 1
Cl1 Cl 0.199 0.500 0.186 1
Cl2 Cl 0.227 0.000 0.676 1
```

Below is LiHoCl4 after structural relaxation, with properties calculated at the PBE level.

DOS at the Fermi energy (states/eV per cell): 0.00
Raw formation energy (eV per atom): -2.09
Uncorrected energy (eV per cell): -105.630

```
data_LiHoCl4
_chemical_formula_sum 'Li4 Ho4 Cl16'
_symmetry_space_group_name_H-M 'C 1 2/c 1'
_symmetry_Int_Tables_number 15
_symmetry_space_group_name_Hall '-C 2yc'
_cell_length_a 8.188
_cell_length_b 16.937
_cell_length_c 6.353
_cell_angle_alpha 90.00
_cell_angle_beta 129.19
_cell_angle_gamma 90.00
loop_
_atom_site_label
_atom_site_type_symbol
_atom_site_fract_x
_atom_site_fract_y
_atom_site_fract_z
_atom_site_occupancy
Li1 Li 0.000 0.135 0.250 1
Ho1 Ho 0.000 0.329 0.750 1
Cl1 Cl 0.209 0.204 0.724 1
Cl2 Cl 0.225 0.423 0.722 1
```

Below is LiHoCl2 after structural relaxation, with properties calculated at the PBE level.

DOS at the Fermi energy (states/eV per cell): 1.06
Raw formation energy (eV per atom): -1.50
Uncorrected energy (eV per cell): -48.582

```
data_LiHoCl2
_chemical_formula_sum 'Li3 Ho3 Cl6'
_symmetry_space_group_name_H-M 'R -3 m'
_symmetry_Int_Tables_number 166
_symmetry_space_group_name_Hall '-R 3 2"'
_cell_length_a 3.7355
_cell_length_b 3.7355
_cell_length_c 24.1275
_cell_angle_alpha 90.00
_cell_angle_beta 90.00
_cell_angle_gamma 120.00
loop_
_atom_site_label
_atom_site_type_symbol
_atom_site_fract_x
_atom_site_fract_y
_atom_site_fract_z
_atom_site_occupancy
Li1 Li 0.0000 0.0000 0.0000 1
Ho1 Ho 0.0000 0.0000 0.5000 1
Cl1 Cl 0.0000 0.0000 0.3915 1
```

Below is Li2HoCl6 after structural relaxation, with properties calculated at the PBE level.

DOS at the Fermi energy (states/eV per cell): 4.23
Raw formation energy (eV per atom): -1.66
Uncorrected energy (eV per cell): -68.901

```
data_Li2HoCl6
_chemical_formula_sum 'Li4 Ho2 Cl12'
_symmetry_space_group_name_H-M 'C 1 2/m 1'
_symmetry_Int_Tables_number 12
_symmetry_space_group_name_Hall '-C 2y'
_cell_length_a 12.928
_cell_length_b 4.094
_cell_length_c 9.527
_cell_angle_alpha 90.00
_cell_angle_beta 105.73
_cell_angle_gamma 90.00
loop_
_atom_site_label
_atom_site_type_symbol
_atom_site_fract_x
_atom_site_fract_y
_atom_site_fract_z
_atom_site_occupancy
Li1 Li 0.208 0.000 0.163 1
Ho1 Ho 0.000 0.000 0.500 1
Cl1 Cl 0.056 0.000 0.262 1
Cl2 Cl 0.137 0.500 0.602 1
Cl3 Cl 0.166 0.500 0.034 1
```

Below is LiHoMgCl6 after structural relaxation, with properties calculated at the PBE level.

DOS at the Fermi energy (states/eV per cell): 0.00
Raw formation energy (eV per atom): -2.01
Uncorrected energy (eV per cell): -74.471

```
data_LiHoMgCl6
_chemical_formula_sum 'Li2 Ho2 Mg2 Cl12'
_symmetry_space_group_name_H-M 'P -3 1 c'
_symmetry_Int_Tables_number 163
_symmetry_space_group_name_Hall '-P 3 2c'
_cell_length_a 6.5470
_cell_length_b 6.5470
_cell_length_c 11.8841
_cell_angle_alpha 90.00
_cell_angle_beta 90.00
_cell_angle_gamma 120.00
loop_
_atom_site_label
_atom_site_type_symbol
_atom_site_fract_x
_atom_site_fract_y
_atom_site_fract_z
_atom_site_occupancy
Li1 Li 0.0000 0.0000 0.0000 1
Ho1 Ho 0.3333 0.6667 0.2500 1
Mg1 Mg 0.3333 0.6667 0.7500 1
Cl1 Cl 0.0129 0.3508 0.6289 1
```

Below is LiHoPbCl6 after structural relaxation, with properties calculated at the PBE level.

DOS at the Fermi energy (states/eV per cell): 0.00
Raw formation energy (eV per atom): -1.80
Uncorrected energy (eV per cell): -74.974

```
data_LiHoPbCl6
_chemical_formula_sum 'Li2 Ho2 Pb2 Cl12'
_symmetry_space_group_name_H-M 'P -3 1 c'
_symmetry_Int_Tables_number 163
_symmetry_space_group_name_Hall '-P 3 2c'
_cell_length_a 6.7421
_cell_length_b 6.7421
_cell_length_c 12.6337
_cell_angle_alpha 90.00
_cell_angle_beta 90.00
_cell_angle_gamma 120.00
loop_
_atom_site_label
_atom_site_type_symbol
_atom_site_fract_x
_atom_site_fract_y
_atom_site_fract_z
_atom_site_occupancy
Li1 Li 0.3333 0.6667 0.2500 1
Ho1 Ho 0.3333 0.6667 0.7500 1
Pb1 Pb 0.0000 0.0000 0.0000 1
Cl1 Cl 0.0035 0.3584 0.1335 1
```

Below is Rb3Li2HoCl8 after structural relaxation, with properties calculated at the PBE level.

DOS at the Fermi energy (states/eV per cell): 0.00
Raw formation energy (eV per atom): -1.99
Uncorrected energy (eV per cell): -53.922

```
data_Rb3Li2HoCl8
_chemical_formula_sum 'Rb3 Li2 Ho1 Cl8'
_symmetry_space_group_name_H-M 'P -3 m 1'
_symmetry_Int_Tables_number 164
_symmetry_space_group_name_Hall '-P 3 2"'
_cell_length_a 7.3480
_cell_length_b 7.3480
_cell_length_c 9.4173
_cell_angle_alpha 90.00
_cell_angle_beta 90.00
_cell_angle_gamma 120.00
loop_
_atom_site_label
_atom_site_type_symbol
_atom_site_fract_x
_atom_site_fract_y
_atom_site_fract_z
_atom_site_occupancy
Rb1 Rb 0.0000 0.0000 0.0000 1
Rb2 Rb 0.3333 0.6667 0.6436 1
Li1 Li 0.3333 0.6667 0.2043 1
Ho1 Ho 0.0000 0.0000 0.5000 1
Cl1 Cl 0.1662 0.3323 0.3355 1
Cl2 Cl 0.3333 0.6667 0.9697 1
```

Below is SrLiHoCl6 after structural relaxation, with properties calculated at the PBE level.

DOS at the Fermi energy (states/eV per cell): 0.00
Raw formation energy (eV per atom): -2.24
Uncorrected energy (eV per cell): -78.861

```
data_SrLiHoCl6
_chemical_formula_sum 'Sr2 Li2 Ho2 Cl12'
_symmetry_space_group_name_H-M 'P -3 1 c'
_symmetry_Int_Tables_number 163
_symmetry_space_group_name_Hall '-P 3 2c'
_cell_length_a 6.7374
_cell_length_b 6.7374
_cell_length_c 12.7340
_cell_angle_alpha 90.00
_cell_angle_beta 90.00
_cell_angle_gamma 120.00
loop_
_atom_site_label
_atom_site_type_symbol
_atom_site_fract_x
_atom_site_fract_y
_atom_site_fract_z
_atom_site_occupancy
Sr1 Sr 0.0000 0.0000 0.0000 1
Li1 Li 0.3333 0.6667 0.2500 1
Ho1 Ho 0.3333 0.6667 0.7500 1
Cl1 Cl 0.0027 0.3570 0.1341 1
```

Below is LiHo2TlCl8 after structural relaxation, with properties calculated at the PBE level.

DOS at the Fermi energy (states/eV per cell): 0.00
Raw formation energy (eV per atom): -1.96
Uncorrected energy (eV per cell): -51.678

```
data_LiHo2TlCl8
_chemical_formula_sum 'Li1 Ho2 Tl1 Cl8'
_symmetry_space_group_name_H-M 'P 1 2/m 1'
_symmetry_Int_Tables_number 10
_symmetry_space_group_name_Hall '-P 2y'
_cell_length_a 6.619
_cell_length_b 8.232
_cell_length_c 6.837
_cell_angle_alpha 90.00
_cell_angle_beta 97.24
_cell_angle_gamma 90.00
loop_
_atom_site_label
_atom_site_type_symbol
_atom_site_fract_x
_atom_site_fract_y
_atom_site_fract_z
_atom_site_occupancy
Li1 Li 0.000 0.000 0.000 1
Ho1 Ho 0.500 0.241 0.500 1
Tl1 Tl 0.000 0.500 0.000 1
Cl1 Cl 0.235 0.211 0.188 1
Cl2 Cl 0.298 0.000 0.653 1
Cl3 Cl 0.308 0.500 0.640 1
```

Below is LiHoTlCl5 after structural relaxation, with properties calculated at the PBE level.

DOS at the Fermi energy (states/eV per cell): 0.00
Raw formation energy (eV per atom): -1.86
Uncorrected energy (eV per cell): -132.019

```
data_LiHoTlCl5
_chemical_formula_sum 'Li4 Ho4 Tl4 Cl20'
_symmetry_space_group_name_H-M 'C 1 2/c 1'
_symmetry_Int_Tables_number 15
_symmetry_space_group_name_Hall '-C 2yc'
_cell_length_a 8.887
_cell_length_b 12.048
_cell_length_c 9.984
_cell_angle_alpha 90.00
_cell_angle_beta 113.58
_cell_angle_gamma 90.00
loop_
_atom_site_label
_atom_site_type_symbol
_atom_site_fract_x
_atom_site_fract_y
_atom_site_fract_z
_atom_site_occupancy
Li1 Li 0.000 0.191 0.250 1
Ho1 Ho 0.000 0.500 0.000 1
Tl1 Tl 0.000 0.150 0.750 1
Cl1 Cl 0.000 0.425 0.750 1
Cl2 Cl 0.106 0.302 0.108 1
Cl3 Cl 0.194 0.065 0.423 1
```

Below is LiHoVCl6 after structural relaxation, with properties calculated at the PBE level.

Raw formation energy (eV per atom): -1.77
Uncorrected energy (eV per cell): -85.290

```
data_LiHoVCl6
_chemical_formula_sum 'Li2 Ho2 V2 Cl12'
_symmetry_space_group_name_H-M 'P -3 1 c'
_symmetry_Int_Tables_number 163
_symmetry_space_group_name_Hall '-P 3 2c'
_cell_length_a 6.4166
_cell_length_b 6.4166
_cell_length_c 11.9923
_cell_angle_alpha 90.00
_cell_angle_beta 90.00
_cell_angle_gamma 120.00
loop_
_atom_site_label
_atom_site_type_symbol
_atom_site_fract_x
_atom_site_fract_y
_atom_site_fract_z
_atom_site_occupancy
Li1 Li 0.0000 0.0000 0.0000 1
Ho1 Ho 0.3333 0.6667 0.2500 1
V1 V 0.3333 0.6667 0.7500 1
Cl1 Cl 0.0181 0.3508 0.6287 1
```

Copy entry 11 word for word.
Below is LiHoTlCl5 after structural relaxation, with properties calculated at the PBE level.

DOS at the Fermi energy (states/eV per cell): 0.00
Raw formation energy (eV per atom): -1.86
Uncorrected energy (eV per cell): -132.019

```
data_LiHoTlCl5
_chemical_formula_sum 'Li4 Ho4 Tl4 Cl20'
_symmetry_space_group_name_H-M 'C 1 2/c 1'
_symmetry_Int_Tables_number 15
_symmetry_space_group_name_Hall '-C 2yc'
_cell_length_a 8.887
_cell_length_b 12.048
_cell_length_c 9.984
_cell_angle_alpha 90.00
_cell_angle_beta 113.58
_cell_angle_gamma 90.00
loop_
_atom_site_label
_atom_site_type_symbol
_atom_site_fract_x
_atom_site_fract_y
_atom_site_fract_z
_atom_site_occupancy
Li1 Li 0.000 0.191 0.250 1
Ho1 Ho 0.000 0.500 0.000 1
Tl1 Tl 0.000 0.150 0.750 1
Cl1 Cl 0.000 0.425 0.750 1
Cl2 Cl 0.106 0.302 0.108 1
Cl3 Cl 0.194 0.065 0.423 1
```